Material: AcCuWO6
Method: DFT, PBE+U
State: optimized geometry

Results
DOS(E_F): 8.60 states/eV per cell
M_tot: 0.000 μB/cell
total energy: -6.835 eV/atom

Lattice parameters (Å, degrees): 5.1018 5.1018 9.8296 90.00 90.00 90.00
Space group P4_2nm (No. 102)
Inequivalent atoms, fractional coordinates:
Ac1 0.0000 0.0000 0.0000 (multiplicity 2)
Cu1 0.0000 0.0000 0.3311 (multiplicity 2)
W1 0.0000 0.0000 0.6603 (multiplicity 2)
O1 0.1603 0.1603 0.4858 (multiplicity 4)
O2 0.1966 0.1966 0.7818 (multiplicity 4)
O3 0.2254 0.2254 0.1763 (multiplicity 4)